# ZnCdMo3 PBE-GGA optimized geometry
data_ZnCdMo3
_chemical_formula_sum 'Zn1 Cd1 Mo3'
_cell_length_a 4.8657
_cell_length_b 4.8657
_cell_length_c 4.8657
_cell_angle_alpha 90.00
_cell_angle_beta 90.00
_cell_angle_gamma 90.00
_symmetry_space_group_name_H-M 'P m -3 m'
_symmetry_Int_Tables_number 221
_symmetry_space_group_name_Hall '-P 4 2 3'
loop_
_atom_site_label
_atom_site_type_symbol
_atom_site_fract_x
_atom_site_fract_y
_atom_site_fract_z
Zn1 Zn 0.0000 0.0000 0.0000
Cd1 Cd 0.5000 0.5000 0.5000
Mo1 Mo 0.0000 0.5000 0.5000
# * total DFT energy (no corrections): -4.38 eV/atom
# * energy of formation from the pure elements: 2.5603 eV/atom
# * total magnetic moment: 0.0 μB/f.u.
# * polymorph energy (0 for the lowest one): 95.72 kJ/mol of atoms

# H12Pd5Rh3 PBE-GGA optimized geometry
data_H12Pd5Rh3
_chemical_formula_sum 'H96 Pd40 Rh24'
_cell_length_a 10.8786
_cell_length_b 10.8786
_cell_length_c 10.8786
_cell_angle_alpha 90.00
_cell_angle_beta 90.00
_cell_angle_gamma 90.00
_symmetry_space_group_name_H-M 'I a -3 d'
_symmetry_Int_Tables_number 230
_symmetry_space_group_name_Hall '-I 4bd 2c 3'
loop_
_atom_site_label
_atom_site_type_symbol
_atom_site_fract_x
_atom_site_fract_y
_atom_site_fract_z
H1 H 0.0083 0.0735 0.6582
Pd1 Pd 0.0000 0.0000 0.0000
Pd2 Pd 0.0000 0.2500 0.3750
Rh1 Rh 0.0000 0.2500 0.1250
# * total DFT energy (no corrections): -4.39 eV/atom
# * total magnetic moment: 0.0 μB/f.u.
# * polymorph energy (0 for the lowest one): 5.54 kJ/mol of atoms

# Zn2OsPt PBE-GGA optimized geometry
data_Zn2OsPt
_chemical_formula_sum 'Zn4 Os2 Pt2'
_cell_length_a 3.8624
_cell_length_b 3.8624
_cell_length_c 7.8113
_cell_angle_alpha 90.00
_cell_angle_beta 90.00
_cell_angle_gamma 90.00
_symmetry_space_group_name_H-M 'I -4 m 2'
_symmetry_Int_Tables_number 119
_symmetry_space_group_name_Hall 'I -4 -2'
loop_
_atom_site_label
_atom_site_type_symbol
_atom_site_fract_x
_atom_site_fract_y
_atom_site_fract_z
Zn1 Zn 0.0000 0.0000 0.0000
Zn2 Zn 0.0000 0.5000 0.2500
Os1 Os 0.0000 0.5000 0.7500
Pt1 Pt 0.0000 0.0000 0.5000
# * total DFT energy (no corrections): -4.83 eV/atom
# * energy of formation from the pure elements: 0.1235 eV/atom
# * total magnetic moment: 0.0 μB/f.u.

# PaFe3 PBE-GGA optimized geometry
data_PaFe3
_chemical_formula_sum 'Pa6 Fe18'
_cell_length_a 4.8183
_cell_length_b 4.8183
_cell_length_c 16.9174
_cell_angle_alpha 90.00
_cell_angle_beta 90.00
_cell_angle_gamma 120.00
_symmetry_space_group_name_H-M 'P 63/m m c'
_symmetry_Int_Tables_number 194
_symmetry_space_group_name_Hall '-P 6c 2c'
loop_
_atom_site_label
_atom_site_type_symbol
_atom_site_fract_x
_atom_site_fract_y
_atom_site_fract_z
Pa1 Pa 0.3333 0.6667 0.0372
Pa2 Pa 0.3333 0.6667 0.2500
Fe1 Fe 0.0000 0.0000 0.0000
Fe2 Fe 0.0000 0.0000 0.2500
Fe3 Fe 0.1668 0.3336 0.6286
Fe4 Fe 0.3333 0.6667 0.7500
# * total DFT energy (no corrections): -8.83 eV/atom
# * energy of formation from the pure elements: -0.1137 eV/atom
# * total magnetic moment: 1.7 μB/f.u.

# NiRuPt3 PBE-GGA optimized geometry
data_NiRuPt3
_chemical_formula_sum 'Ni4 Ru4 Pt12'
_cell_length_a 3.9785
_cell_length_b 13.5873
_cell_length_c 5.3923
_cell_angle_alpha 90.00
_cell_angle_beta 90.00
_cell_angle_gamma 90.00
_symmetry_space_group_name_H-M 'C m c m'
_symmetry_Int_Tables_number 63
_symmetry_space_group_name_Hall '-C 2c 2'
loop_
_atom_site_label
_atom_site_type_symbol
_atom_site_fract_x
_atom_site_fract_y
_atom_site_fract_z
Ni1 Ni 0.0000 0.1873 0.2500
Ru1 Ru 0.0000 0.9997 0.2500
Pt1 Pt 0.0000 0.2014 0.7500
Pt2 Pt 0.0000 0.3986 0.5025
# * total DFT energy (no corrections): -6.58 eV/atom
# * energy of formation from the pure elements: 0.0520 eV/atom
# * total magnetic moment: 0.0 μB/f.u.
# * polymorph energy (0 for the lowest one): 0.00 kJ/mol of atoms

# Cu2SiRh PBE-GGA optimized geometry
data_Cu2SiRh
_chemical_formula_sum 'Cu6 Si3 Rh3'
_cell_length_a 2.7142
_cell_length_b 2.7142
_cell_length_c 24.4404
_cell_angle_alpha 90.00
_cell_angle_beta 90.00
_cell_angle_gamma 120.00
_symmetry_space_group_name_H-M 'R -3 m'
_symmetry_Int_Tables_number 166
_symmetry_space_group_name_Hall '-R 3 2"'
loop_
_atom_site_label
_atom_site_type_symbol
_atom_site_fract_x
_atom_site_fract_y
_atom_site_fract_z
Cu1 Cu 0.0000 0.0000 0.2454
Si1 Si 0.0000 0.0000 0.5000
Rh1 Rh 0.0000 0.0000 0.0000
# * total DFT energy (no corrections): -5.21 eV/atom
# * formation energy (no corrections): 14 kJ/mol of formula units
# * total magnetic moment: 0.4 μB/f.u.

# LaNdAu PBE-GGA optimized geometry
data_LaNdAu
_chemical_formula_sum 'La4 Nd4 Au4'
_cell_length_a 7.0327
_cell_length_b 7.5716
_cell_length_c 7.3311
_cell_angle_alpha 90.00
_cell_angle_beta 91.25
_cell_angle_gamma 90.00
_symmetry_space_group_name_H-M 'P 1 21/c 1'
_symmetry_Int_Tables_number 14
loop_
_symmetry_equiv_pos_as_xyz
'x,y,z'
'-x,-y,-z'
'-x,y+1/2,-z+1/2'
'x,-y+1/2,z+1/2'
loop_
_atom_site_label
_atom_site_type_symbol
_atom_site_fract_x
_atom_site_fract_y
_atom_site_fract_z
La1 La 0.0695 0.2463 0.0006
Nd1 Nd 0.3946 0.5919 0.2475
Au1 Au 0.2121 0.5467 0.7601
# * total DFT energy (no corrections): -4.79 eV/atom
# * energy of formation from the pure elements: -0.4688 eV/atom
# * total magnetic moment: 0.0 μB/f.u.
# * polymorph energy (0 for the lowest one): 4.91 kJ/mol of atoms

# Er3Tm5H12 PBE-GGA optimized geometry
data_Er3Tm5H12
_chemical_formula_sum 'Er24 Tm40 H96'
_cell_length_a 12.8287
_cell_length_b 12.8287
_cell_length_c 12.8287
_cell_angle_alpha 90.00
_cell_angle_beta 90.00
_cell_angle_gamma 90.00
_symmetry_space_group_name_H-M 'I a -3 d'
_symmetry_Int_Tables_number 230
_symmetry_space_group_name_Hall '-I 4bd 2c 3'
loop_
_atom_site_label
_atom_site_type_symbol
_atom_site_fract_x
_atom_site_fract_y
_atom_site_fract_z
Er1 Er 0.0000 0.2500 0.1250
Tm1 Tm 0.0000 0.0000 0.0000
Tm2 Tm 0.0000 0.2500 0.3750
H1 H 0.0016 0.0662 0.6560
# * total DFT energy (no corrections): -4.28 eV/atom
# * total magnetic moment: 0.0 μB/f.u.

# SrLiV PBE-GGA optimized geometry
data_SrLiV
_chemical_formula_sum 'Sr2 Li2 V2'
_cell_length_a 3.4297
_cell_length_b 6.3490
_cell_length_c 7.4986
_cell_angle_alpha 87.74
_cell_angle_beta 80.61
_cell_angle_gamma 81.04
_symmetry_space_group_name_H-M 'P 1'
_symmetry_Int_Tables_number 1
loop_
_symmetry_equiv_pos_as_xyz
'x,y,z'
loop_
_atom_site_label
_atom_site_type_symbol
_atom_site_fract_x
_atom_site_fract_y
_atom_site_fract_z
Sr1 Sr 0.0000 0.0000 0.0000
Sr2 Sr 0.3599 0.7746 0.4858
Li1 Li 0.3318 0.4591 0.1338
Li2 Li 0.8804 0.5155 0.8212
V1 V 0.5558 0.2172 0.6375
V2 V 0.8812 0.2736 0.4221
# * total DFT energy (no corrections): -3.73 eV/atom
# * energy of formation from the pure elements: 0.5043 eV/atom
# * total magnetic moment: 0.0 μB/f.u.
# * polymorph energy (0 for the lowest one): 5.02 kJ/mol of atoms

# Cd2CuB PBE-GGA optimized geometry
data_Cd2CuB
_chemical_formula_sum 'Cd8 Cu4 B4'
_cell_length_a 4.1137
_cell_length_b 4.1137
_cell_length_c 16.8096
_cell_angle_alpha 90.00
_cell_angle_beta 90.00
_cell_angle_gamma 90.00
_symmetry_space_group_name_H-M 'I -4 2 d'
_symmetry_Int_Tables_number 122
_symmetry_space_group_name_Hall 'I -4 2bw'
loop_
_atom_site_label
_atom_site_type_symbol
_atom_site_fract_x
_atom_site_fract_y
_atom_site_fract_z
Cd1 Cd 0.2309 0.2500 0.1250
Cu1 Cu 0.0000 0.0000 0.5000
B1 B 0.0000 0.0000 0.0000
# * total DFT energy (no corrections): -2.21 eV/atom
# * energy of formation from the pure elements: 0.9408 eV/atom
# * total magnetic moment: 0.0 μB/f.u.

# Er4ScN5 PBE-GGA optimized geometry
data_Er4ScN5
_chemical_formula_sum 'Er8 Sc2 N10'
_cell_length_a 7.5645
_cell_length_b 7.5645
_cell_length_c 4.7974
_cell_angle_alpha 90.00
_cell_angle_beta 90.00
_cell_angle_gamma 90.00
_symmetry_space_group_name_H-M 'I 4'
_symmetry_Int_Tables_number 79
loop_
_symmetry_equiv_pos_as_xyz
'x,y,z'
'-y,x,z'
'-x,-y,z'
'y,-x,z'
'x+1/2,y+1/2,z+1/2'
'-y+1/2,x+1/2,z+1/2'
'-x+1/2,-y+1/2,z+1/2'
'y+1/2,-x+1/2,z+1/2'
loop_
_atom_site_label
_atom_site_type_symbol
_atom_site_fract_x
_atom_site_fract_y
_atom_site_fract_z
Er1 Er 0.1008 0.7018 0.0000
Sc1 Sc 0.0000 0.0000 0.5030
N1 N 0.0000 0.0000 0.9936
N2 N 0.0975 0.7067 0.4982
# * total DFT energy (no corrections): -8.41 eV/atom
# * formation energy (no corrections): -1722 kJ/mol of formula units
# * total magnetic moment: 0.0 μB/f.u.

# ScAgSe PBE-GGA optimized geometry
data_ScAgSe
_chemical_formula_sum 'Sc1 Ag1 Se1'
_cell_length_a 3.7816
_cell_length_b 3.7816
_cell_length_c 5.6213
_cell_angle_alpha 90.00
_cell_angle_beta 90.00
_cell_angle_gamma 120.00
_symmetry_space_group_name_H-M 'P 3 m 1'
_symmetry_Int_Tables_number 156
loop_
_symmetry_equiv_pos_as_xyz
'x,y,z'
'-y,x-y,z'
'-x+y,-x,z'
'-y,-x,z'
'-x+y,y,z'
'x,x-y,z'
loop_
_atom_site_label
_atom_site_type_symbol
_atom_site_fract_x
_atom_site_fract_y
_atom_site_fract_z
Sc1 Sc 0.0000 0.0000 0.0000
Ag1 Ag 0.3333 0.6667 0.6465
Se1 Se 0.6667 0.3333 0.2663
# * total DFT energy (no corrections): -4.94 eV/atom
# * formation energy (no corrections): -207 kJ/mol of formula units
# * total magnetic moment: 0.0 μB/f.u.
# * polymorph energy (0 for the lowest one): 6.22 kJ/mol of atoms

# Ce3Ge4 PBE-GGA optimized geometry
data_Ce3Ge4
_chemical_formula_sum 'Ce12 Ge16'
_cell_length_a 4.1656
_cell_length_b 10.9361
_cell_length_c 14.5039
_cell_angle_alpha 90.00
_cell_angle_beta 90.00
_cell_angle_gamma 90.00
_symmetry_space_group_name_H-M 'C m c m'
_symmetry_Int_Tables_number 63
_symmetry_space_group_name_Hall '-C 2c 2'
loop_
_atom_site_label
_atom_site_type_symbol
_atom_site_fract_x
_atom_site_fract_y
_atom_site_fract_z
Ce1 Ce 0.0000 0.0343 0.2500
Ce2 Ce 0.0000 0.3244 0.0963
Ge1 Ge 0.0000 0.0000 0.0000
Ge2 Ge 0.0000 0.2380 0.7500
Ge3 Ge 0.0000 0.3887 0.6086
# * total DFT energy (no corrections): -5.86 eV/atom
# * energy of formation from the pure elements: -0.6816 eV/atom
# * total magnetic moment: 2.1 μB/f.u.
# * polymorph energy (0 for the lowest one): 0.00 kJ/mol of atoms

# Li2CeAsO PBE-GGA optimized geometry
data_Li2CeAsO
_chemical_formula_sum 'Li8 Ce4 As4 O4'
_cell_length_a 3.7378
_cell_length_b 11.2626
_cell_length_c 7.2533
_cell_angle_alpha 90.00
_cell_angle_beta 90.00
_cell_angle_gamma 90.00
_symmetry_space_group_name_H-M 'C m c m'
_symmetry_Int_Tables_number 63
_symmetry_space_group_name_Hall '-C 2c 2'
loop_
_atom_site_label
_atom_site_type_symbol
_atom_site_fract_x
_atom_site_fract_y
_atom_site_fract_z
Li1 Li 0.0000 0.1645 0.0566
Ce1 Ce 0.0000 0.4588 0.2500
As1 As 0.0000 0.2650 0.7500
O1 O 0.0000 0.0000 0.0000
# * total DFT energy (no corrections): -5.44 eV/atom
# * formation energy (no corrections): -756 kJ/mol of formula units
# * total magnetic moment: 1.0 μB/f.u.

# BaTi2Br PBE-GGA optimized geometry
data_BaTi2Br
_chemical_formula_sum 'Ba4 Ti8 Br4'
_cell_length_a 4.7529
_cell_length_b 4.7529
_cell_length_c 20.1616
_cell_angle_alpha 90.00
_cell_angle_beta 90.00
_cell_angle_gamma 90.00
_symmetry_space_group_name_H-M 'I 41/a m d'
_symmetry_Int_Tables_number 141
loop_
_symmetry_equiv_pos_as_xyz
'x,y,z'
'-x,-y,-z'
'-y+1/4,x+3/4,z+1/4'
'y+1/4,-x+3/4,-z+1/4'
'-x+1/2,-y,z+1/2'
'x+1/2,y,-z+1/2'
'y+1/4,-x+1/4,z+3/4'
'-y+1/4,x+1/4,-z+3/4'
'x,-y,-z'
'-x,y,z'
'-y+1/4,-x+1/4,-z+3/4'
'y+1/4,x+1/4,z+3/4'
'-x+1/2,y,-z+1/2'
'x+1/2,-y,z+1/2'
'y+1/4,x+3/4,-z+1/4'
'-y+1/4,-x+3/4,z+1/4'
'x+1/2,y+1/2,z+1/2'
'-x+1/2,-y+1/2,-z+1/2'
'-y+3/4,x+1/4,z+3/4'
'y+3/4,-x+1/4,-z+3/4'
'-x,-y+1/2,z'
'x,y+1/2,-z'
'y+3/4,-x+3/4,z+1/4'
'-y+3/4,x+3/4,-z+1/4'
'x+1/2,-y+1/2,-z+1/2'
'-x+1/2,y+1/2,z+1/2'
'-y+3/4,-x+3/4,-z+1/4'
'y+3/4,x+3/4,z+1/4'
'-x,y+1/2,-z'
'x,-y+1/2,z'
'y+3/4,x+1/4,-z+3/4'
'-y+3/4,-x+1/4,z+3/4'
loop_
_atom_site_label
_atom_site_type_symbol
_atom_site_fract_x
_atom_site_fract_y
_atom_site_fract_z
Ba1 Ba 0.0000 0.2500 0.3750
Ti1 Ti 0.0000 0.0000 0.0000
Br1 Br 0.0000 0.2500 0.8750
# * total DFT energy (no corrections): -4.53 eV/atom
# * formation energy (no corrections): 121 kJ/mol of formula units
# * total magnetic moment: 0.0 μB/f.u.
# * polymorph energy (0 for the lowest one): 0.00 kJ/mol of atoms

# ReSnIr3 PBE-GGA optimized geometry
data_ReSnIr3
_chemical_formula_sum 'Re1 Sn1 Ir3'
_cell_length_a 4.7838
_cell_length_b 4.7838
_cell_length_c 4.7838
_cell_angle_alpha 90.00
_cell_angle_beta 90.00
_cell_angle_gamma 90.00
_symmetry_space_group_name_H-M 'P m -3 m'
_symmetry_Int_Tables_number 221
_symmetry_space_group_name_Hall '-P 4 2 3'
loop_
_atom_site_label
_atom_site_type_symbol
_atom_site_fract_x
_atom_site_fract_y
_atom_site_fract_z
Re1 Re 0.0000 0.0000 0.0000
Sn1 Sn 0.5000 0.5000 0.5000
Ir1 Ir 0.0000 0.0000 0.5000
# * total DFT energy (no corrections): -7.21 eV/atom
# * energy of formation from the pure elements: 1.3952 eV/atom
# * total magnetic moment: 0.0 μB/f.u.
# * polymorph energy (0 for the lowest one): 0.00 kJ/mol of atoms